No. 1
Here is a crystal of YNi5Ge3 relaxed with PBEsol from Alexandria via LeMat-Bulk. Energies are from meta-GGA SCAN.

Cell: 3.8118 6.7294 18.8531 Å, 90.00 90.00 90.00°
Fractional coordinates of all 36 atoms:
Ge1 0.7500 0.3516 0.9245
Ge2 0.7500 0.6168 0.7368
Ge3 0.7500 0.9096 0.9132
Ge4 0.2500 0.1168 0.7632
Ge5 0.7500 0.1484 0.4245
Ge6 0.2500 0.3832 0.2632
Ge7 0.7500 0.5904 0.4132
Ge8 0.2500 0.6484 0.0755
Ge9 0.7500 0.8832 0.2368
Ge10 0.2500 0.8516 0.5755
Ge11 0.2500 0.0904 0.0868
Ge12 0.2500 0.4096 0.5868
Ni1 0.7500 0.1163 0.0137
Ni2 0.2500 0.4262 0.7082
Ni3 0.7500 0.1897 0.3000
Ni4 0.7500 0.5738 0.2918
Ni5 0.7500 0.8570 0.1125
Ni6 0.7500 0.3837 0.5137
Ni7 0.7500 0.8653 0.4960
Ni8 0.2500 0.6163 0.4863
Ni9 0.2500 0.8103 0.7000
Ni10 0.2500 0.0738 0.2082
Ni11 0.7500 0.3103 0.8000
Ni12 0.2500 0.8837 0.9863
Ni13 0.2500 0.3653 0.0040
Ni14 0.2500 0.1430 0.8875
Ni15 0.2500 0.1347 0.5040
Ni16 0.2500 0.6897 0.2000
Ni17 0.2500 0.3570 0.3875
Ni18 0.7500 0.9262 0.7918
Ni19 0.7500 0.6347 0.9960
Ni20 0.7500 0.6430 0.6125
Y1 0.2500 0.6216 0.8551
Y2 0.7500 0.3784 0.1449
Y3 0.2500 0.8784 0.3551
Y4 0.7500 0.1216 0.6449

Summary:
ΔE_f in meV per atom: -594
Size of the total moment in μB per cell: 0.0
D(E_F) in states/eV/atom: 0.46
Theoretical density in Mg/m³: 8.24
Uncorrected energy in Ry per atom: -1.399


No. 2
Here is a crystal of YNiGe relaxed with PBEsol from Alexandria via LeMat-Bulk. Energies are from meta-GGA SCAN.

Cell: 4.0836 5.4258 5.4854 Å, 76.93 68.15 67.89°
Fractional coordinates of all 6 atoms:
Ge1 0.1711 0.7590 0.8988
Ge2 0.8289 0.2410 0.1012
Y1 0.5527 0.2066 0.6880
Y2 0.4473 0.7934 0.3120
Ni1 0.1686 0.3857 0.2771
Ni2 0.8314 0.6143 0.7229

Summary:
ΔE_f in meV per atom: -807
Size of the total moment in μB per cell: 0.0
D(E_F) in states/eV/atom: 0.46
Theoretical density in Mg/m³: 7.03
Uncorrected energy in Ry per atom: -1.605


No. 3
Here is a crystal of YNi2Ge2 relaxed with PBEsol from Alexandria via LeMat-Bulk. Energies are from meta-GGA SCAN.

Cell: 4.0126 4.0126 5.6076 Å, 110.96 110.96 90.00°
Fractional coordinates of all 5 atoms:
Ni1 0.2500 0.7500 0.5000
Ni2 0.7500 0.2500 0.5000
Ge1 0.3712 0.3712 0.7425
Ge2 0.6288 0.6288 0.2575
Y1 0.0000 0.0000 0.0000

Summary:
ΔE_f in meV per atom: -788
Size of the total moment in μB per cell: 0.0
D(E_F) in states/eV/atom: 0.68
Theoretical density in Mg/m³: 7.50
Uncorrected energy in Ry per atom: -1.504


No. 4
Here is a crystal of ZnNi2Ge relaxed with PBEsol from Alexandria via LeMat-Bulk. Energies are from meta-GGA SCAN.

Cell: 4.0458 4.0458 4.0458 Å, 60.00 60.00 60.00°
Fractional coordinates of all 4 atoms:
Zn1 0.0000 0.0000 0.0000
Ge1 0.5000 0.5000 0.5000
Ni1 0.7500 0.7500 0.7500
Ni2 0.2500 0.2500 0.2500

Summary:
ΔE_f in meV per atom: -238
Size of the total moment in μB per cell: 0.0
D(E_F) in states/eV/atom: 0.51
Theoretical density in Mg/m³: 9.06
Uncorrected energy in Ry per atom: -1.211


No. 5
Here is a crystal of ZrNiGe relaxed with PBEsol from Alexandria via LeMat-Bulk. Energies are from meta-GGA SCAN.

Cell: 3.8496 6.5013 7.2935 Å, 90.00 90.00 90.00°
Fractional coordinates of all 12 atoms:
Ni1 0.2500 0.1405 0.4378
Ni2 0.7500 0.3595 0.9378
Ni3 0.2500 0.6405 0.0622
Ni4 0.7500 0.8595 0.5622
Ge1 0.7500 0.7322 0.8859
Ge2 0.2500 0.2678 0.1141
Ge3 0.2500 0.7678 0.3859
Ge4 0.7500 0.2322 0.6141
Zr1 0.2500 0.0176 0.8100
Zr2 0.2500 0.5176 0.6900
Zr3 0.7500 0.4824 0.3100
Zr4 0.7500 0.9824 0.1900

Summary:
ΔE_f in meV per atom: -886
Size of the total moment in μB per cell: 0.0
D(E_F) in states/eV/atom: 0.16
Theoretical density in Mg/m³: 8.10
Uncorrected energy in Ry per atom: -1.681


No. 6
Here is a crystal of NpGe2Pd2 relaxed with PBEsol from Alexandria via LeMat-Bulk. Energies are from meta-GGA SCAN.

Cell: 4.1000 4.1000 5.9816 Å, 110.04 110.04 90.00°
Last column: magnetic moment on the atom in μB.
Fractional coordinates of all 5 atoms:
Ge1 0.3854 0.3854 0.7708  -0.02
Ge2 0.6146 0.6146 0.2292  -0.02
Pd1 0.2500 0.7500 0.5000  0.01
Pd2 0.7500 0.2500 0.5000  0.01
Np1 0.0000 0.0000 0.0000  3.85

Summary:
ΔE_f in meV per atom: -391
Size of the total moment in μB per cell: 4.1
D(E_F) in states/eV/atom: 2.76
Theoretical density in Mg/m³: 11.24
Uncorrected energy in Ry per atom: -3.126


No. 7
Here is a crystal of GeP2OsO relaxed with PBEsol from Alexandria via LeMat-Bulk. Energies are from meta-GGA SCAN.

Cell: 3.6450 4.7500 4.7500 Å, 90.00 90.00 90.00°
Fractional coordinates of all 5 atoms:
O1 0.5000 0.0000 0.0000
Os1 0.0000 0.0000 0.0000
P1 0.0000 0.0000 0.5000
P2 0.0000 0.5000 0.0000
Ge1 0.5000 0.5000 0.5000

Summary:
Size of the total moment in μB per cell: 0.0
D(E_F) in states/eV/atom: 0.63
Uncorrected formation energy in eV/f.u.: 1.2
Theoretical density in Mg/m³: 6.88
Uncorrected energy in Ry per atom: -1.717


No. 8
Here is a crystal of GeSb2OsO relaxed with PBEsol from Alexandria via LeMat-Bulk. Energies are from meta-GGA SCAN.

Cell: 3.6282 5.3504 5.3504 Å, 90.00 90.00 90.00°
Fractional coordinates of all 5 atoms:
Sb1 0.0000 0.5000 0.0000
Sb2 0.0000 0.0000 0.5000
Os1 0.0000 0.0000 0.0000
O1 0.5000 0.0000 0.0000
Ge1 0.5000 0.5000 0.5000

Summary:
Size of the total moment in μB per cell: 0.0
D(E_F) in states/eV/atom: 0.58
Uncorrected formation energy in eV/f.u.: 0.2
Theoretical density in Mg/m³: 8.35
Uncorrected energy in Ry per atom: -2.521